Record 1
A plane-wave DFT calculation with PBE-GGA was carried out for Rb2U3PbS8 after structural relaxation.

Geometry as CIF:
```
data_Rb2U3PbS8
_space_group_name_H-M_alt 'R 3 m'
_space_group_IT_number 160
_space_group_name_Hall 'R 3 -2"'
_cell_length_a 8.1530
_cell_length_b 8.1530
_cell_length_c 24.0139
_cell_angle_alpha 90.00
_cell_angle_beta 90.00
_cell_angle_gamma 120.00
loop_
_atom_site_label
_atom_site_type_symbol
_atom_site_fract_x
_atom_site_fract_y
_atom_site_fract_z
Rb1 Rb 0.0000 0.0000 0.0000
Rb2 Rb 0.0000 0.0000 0.3614
U1 U 0.0034 0.5017 0.8638
Pb1 Pb 0.0000 0.0000 0.7541
S1 S 0.0000 0.0000 0.1369
S2 S 0.0000 0.0000 0.5873
S3 S 0.0174 0.5087 0.1346
S4 S 0.1820 0.3640 0.9217
```

The uncorrected formation energy is -1667 kJ/mol of formula units.



Record 2
A plane-wave DFT calculation with PBE-GGA was carried out for CsFeSeBr2 after structural relaxation.

Geometry as CIF:
```
data_CsFeSeBr2
_space_group_name_H-M_alt 'P 4/m m m'
_space_group_IT_number 123
_space_group_name_Hall '-P 4 2'
_cell_length_a 6.590
_cell_length_b 6.590
_cell_length_c 5.867
_cell_angle_alpha 90.00
_cell_angle_beta 90.00
_cell_angle_gamma 90.00
loop_
_atom_site_label
_atom_site_type_symbol
_atom_site_fract_x
_atom_site_fract_y
_atom_site_fract_z
Cs1 Cs 0.000 0.000 0.000
Fe1 Fe 0.500 0.500 0.500
Se1 Se 0.000 0.000 0.500
Br1 Br 0.000 0.500 0.000
```

The uncorrected formation energy is 406 kJ/mol of formula units.



Record 3
A plane-wave DFT calculation with PBE-GGA was carried out for RbPtBr after structural relaxation.

Geometry as CIF:
```
data_RbPtBr
_space_group_name_H-M_alt 'P 4/n m m'
_space_group_IT_number 129
_cell_length_a 5.445
_cell_length_b 5.445
_cell_length_c 6.392
_cell_angle_alpha 90.00
_cell_angle_beta 90.00
_cell_angle_gamma 90.00
loop_
_space_group_symop_operation_xyz
'x,y,z'
'-x,-y,-z'
'-y+1/2,x,z'
'y+1/2,-x,-z'
'-x+1/2,-y+1/2,z'
'x+1/2,y+1/2,-z'
'y,-x+1/2,z'
'-y,x+1/2,-z'
'x+1/2,-y,-z'
'-x+1/2,y,z'
'-y,-x,-z'
'y,x,z'
'-x,y+1/2,-z'
'x,-y+1/2,z'
'y+1/2,x+1/2,-z'
'-y+1/2,-x+1/2,z'
loop_
_atom_site_label
_atom_site_type_symbol
_atom_site_fract_x
_atom_site_fract_y
_atom_site_fract_z
Rb1 Rb 0.250 0.250 0.109
Pt1 Pt 0.250 0.250 0.587
Br1 Br 0.250 0.750 0.500
```

The uncorrected formation energy is -7 kJ/mol of formula units.



Record 4
A plane-wave DFT calculation with PBE-GGA was carried out for Zn3Si2 after structural relaxation.

Geometry as CIF:
```
data_Zn3Si2
_space_group_name_H-M_alt 'F d d 2'
_space_group_IT_number 43
_space_group_name_Hall 'F 2 -2d'
_cell_length_a 9.350
_cell_length_b 20.947
_cell_length_c 3.229
_cell_angle_alpha 90.00
_cell_angle_beta 90.00
_cell_angle_gamma 90.00
loop_
_atom_site_label
_atom_site_type_symbol
_atom_site_fract_x
_atom_site_fract_y
_atom_site_fract_z
Zn1 Zn 0.000 0.000 0.000
Zn2 Zn 0.000 0.101 0.501
Si1 Si 0.000 0.203 0.001
```

The uncorrected formation energy is 116 kJ/mol of formula units.



Record 5
A plane-wave DFT calculation with PBE-GGA was carried out for Ni4Ge2Pt after structural relaxation.

Geometry as CIF:
```
data_Ni4Ge2Pt
_space_group_name_H-M_alt 'I 4/m m m'
_space_group_IT_number 139
_space_group_name_Hall '-I 4 2'
_cell_length_a 3.254
_cell_length_b 3.254
_cell_length_c 17.761
_cell_angle_alpha 90.00
_cell_angle_beta 90.00
_cell_angle_gamma 90.00
loop_
_atom_site_label
_atom_site_type_symbol
_atom_site_fract_x
_atom_site_fract_y
_atom_site_fract_z
Ni1 Ni 0.000 0.000 0.147
Ni2 Ni 0.000 0.500 0.250
Ge1 Ge 0.000 0.000 0.405
Pt1 Pt 0.000 0.000 0.000
```

Its energy of formation is 0.048 eV/atom.



Record 6
A plane-wave DFT calculation with PBE-GGA was carried out for SrAl2 after structural relaxation.

Geometry as CIF:
```
data_SrAl2
_space_group_name_H-M_alt 'I 41/a m d'
_space_group_IT_number 141
_cell_length_a 4.547
_cell_length_b 4.547
_cell_length_c 15.958
_cell_angle_alpha 90.00
_cell_angle_beta 90.00
_cell_angle_gamma 90.00
loop_
_space_group_symop_operation_xyz
'x,y,z'
'-x,-y,-z'
'-y+1/4,x+3/4,z+1/4'
'y+1/4,-x+3/4,-z+1/4'
'-x+1/2,-y,z+1/2'
'x+1/2,y,-z+1/2'
'y+1/4,-x+1/4,z+3/4'
'-y+1/4,x+1/4,-z+3/4'
'x,-y,-z'
'-x,y,z'
'-y+1/4,-x+1/4,-z+3/4'
'y+1/4,x+1/4,z+3/4'
'-x+1/2,y,-z+1/2'
'x+1/2,-y,z+1/2'
'y+1/4,x+3/4,-z+1/4'
'-y+1/4,-x+3/4,z+1/4'
'x+1/2,y+1/2,z+1/2'
'-x+1/2,-y+1/2,-z+1/2'
'-y+3/4,x+1/4,z+3/4'
'y+3/4,-x+1/4,-z+3/4'
'-x,-y+1/2,z'
'x,y+1/2,-z'
'y+3/4,-x+3/4,z+1/4'
'-y+3/4,x+3/4,-z+1/4'
'x+1/2,-y+1/2,-z+1/2'
'-x+1/2,y+1/2,z+1/2'
'-y+3/4,-x+3/4,-z+1/4'
'y+3/4,x+3/4,z+1/4'
'-x,y+1/2,-z'
'x,-y+1/2,z'
'y+3/4,x+1/4,-z+3/4'
'-y+3/4,-x+1/4,z+3/4'
loop_
_atom_site_label
_atom_site_type_symbol
_atom_site_fract_x
_atom_site_fract_y
_atom_site_fract_z
Sr1 Sr 0.000 0.250 0.375
Al1 Al 0.000 0.250 0.792
```

Its energy of formation is -0.209 eV/atom.



Record 7
A plane-wave DFT calculation with PBE-GGA was carried out for YScFe after structural relaxation.

Geometry as CIF:
```
data_YScFe
_space_group_name_H-M_alt 'I 4 m m'
_space_group_IT_number 107
_space_group_name_Hall 'I 4 -2'
_cell_length_a 3.233
_cell_length_b 3.233
_cell_length_c 12.195
_cell_angle_alpha 90.00
_cell_angle_beta 90.00
_cell_angle_gamma 90.00
loop_
_atom_site_label
_atom_site_type_symbol
_atom_site_fract_x
_atom_site_fract_y
_atom_site_fract_z
Y1 Y 0.000 0.000 0.000
Sc1 Sc 0.000 0.000 0.745
Fe1 Fe 0.000 0.000 0.360
```

Its energy of formation is -0.006 eV/atom.



Record 8
A plane-wave DFT calculation with PBE-GGA was carried out for AlCo2Pb after structural relaxation.

Geometry as CIF:
```
data_AlCo2Pb
_space_group_name_H-M_alt 'A m m 2'
_space_group_IT_number 38
_cell_length_a 3.977
_cell_length_b 3.203
_cell_length_c 9.839
_cell_angle_alpha 90.00
_cell_angle_beta 90.00
_cell_angle_gamma 90.00
loop_
_space_group_symop_operation_xyz
'x,y,z'
'-x,-y,z'
'-x,y,z'
'x,-y,z'
'x,y+1/2,z+1/2'
'-x,-y+1/2,z+1/2'
'-x,y+1/2,z+1/2'
'x,-y+1/2,z+1/2'
loop_
_atom_site_label
_atom_site_type_symbol
_atom_site_fract_x
_atom_site_fract_y
_atom_site_fract_z
Al1 Al 0.000 0.000 0.000
Co1 Co 0.000 0.000 0.696
Co2 Co 0.500 0.000 0.562
Pb1 Pb 0.500 0.000 0.296
```

Its energy of formation is 0.201 eV/atom.



Record 9
A plane-wave DFT calculation with PBE-GGA was carried out for PrNd5Pb6 after structural relaxation.

Geometry as CIF:
```
data_PrNd5Pb6
_space_group_name_H-M_alt 'P 1 2/m 1'
_space_group_IT_number 10
_cell_length_a 5.075
_cell_length_b 9.247
_cell_length_c 8.133
_cell_angle_alpha 90.00
_cell_angle_beta 107.87
_cell_angle_gamma 90.00
loop_
_space_group_symop_operation_xyz
'x,y,z'
'-x,-y,-z'
'-x,y,-z'
'x,-y,z'
loop_
_atom_site_label
_atom_site_type_symbol
_atom_site_fract_x
_atom_site_fract_y
_atom_site_fract_z
Pr1 Pr 0.000 0.000 0.000
Nd1 Nd 0.000 0.500 0.000
Nd2 Nd 0.333 0.000 0.666
Nd3 Nd 0.333 0.500 0.667
Pb1 Pb 0.167 0.251 0.334
Pb2 Pb 0.500 0.251 0.000
```

Its energy of formation is -0.522 eV/atom.



Record 10
A plane-wave DFT calculation with PBE-GGA was carried out for Nb2Co2Ge after structural relaxation.

Geometry as CIF:
```
data_Nb2Co2Ge
_space_group_name_H-M_alt 'I 4/m m m'
_space_group_IT_number 139
_space_group_name_Hall '-I 4 2'
_cell_length_a 4.202
_cell_length_b 4.202
_cell_length_c 9.360
_cell_angle_alpha 90.00
_cell_angle_beta 90.00
_cell_angle_gamma 90.00
loop_
_atom_site_label
_atom_site_type_symbol
_atom_site_fract_x
_atom_site_fract_y
_atom_site_fract_z
Nb1 Nb 0.000 0.500 0.250
Co1 Co 0.000 0.000 0.116
Ge1 Ge 0.000 0.000 0.500
```

Its energy of formation is 0.200 eV/atom.



Record 11
A plane-wave DFT calculation with PBE-GGA was carried out for NdPuC after structural relaxation.

Geometry as CIF:
```
data_NdPuC
_space_group_name_H-M_alt 'I 4 m m'
_space_group_IT_number 107
_space_group_name_Hall 'I 4 -2'
_cell_length_a 3.216
_cell_length_b 3.216
_cell_length_c 12.185
_cell_angle_alpha 90.00
_cell_angle_beta 90.00
_cell_angle_gamma 90.00
loop_
_atom_site_label
_atom_site_type_symbol
_atom_site_fract_x
_atom_site_fract_y
_atom_site_fract_z
Nd1 Nd 0.000 0.000 0.000
Pu1 Pu 0.000 0.000 0.229
C1 C 0.000 0.000 0.633
```

Its energy of formation is 0.339 eV/atom.



Record 12
A plane-wave DFT calculation with PBE-GGA was carried out for YHo2Tm after structural relaxation.

Geometry as CIF:
```
data_YHo2Tm
_space_group_name_H-M_alt 'P 4/m m m'
_space_group_IT_number 123
_space_group_name_Hall '-P 4 2'
_cell_length_a 3.526
_cell_length_b 3.526
_cell_length_c 9.988
_cell_angle_alpha 90.00
_cell_angle_beta 90.00
_cell_angle_gamma 90.00
loop_
_atom_site_label
_atom_site_type_symbol
_atom_site_fract_x
_atom_site_fract_y
_atom_site_fract_z
Y1 Y 0.000 0.000 0.000
Ho1 Ho 0.500 0.500 0.253
Tm1 Tm 0.000 0.000 0.500
```

Its energy of formation is 0.025 eV/atom.



Record 13
A plane-wave DFT calculation with PBE-GGA was carried out for Nb2Se3S6 after structural relaxation.

Geometry as CIF:
```
data_Nb2Se3S6
_space_group_name_H-M_alt 'C 1 2/c 1'
_space_group_IT_number 15
_cell_length_a 10.909
_cell_length_b 6.169
_cell_length_c 15.877
_cell_angle_alpha 90.00
_cell_angle_beta 97.00
_cell_angle_gamma 90.00
loop_
_space_group_symop_operation_xyz
'x,y,z'
'-x,-y,-z'
'-x,y,-z+1/2'
'x,-y,z+1/2'
'x+1/2,y+1/2,z'
'-x+1/2,-y+1/2,-z'
'-x+1/2,y+1/2,-z+1/2'
'x+1/2,-y+1/2,z+1/2'
loop_
_atom_site_label
_atom_site_type_symbol
_atom_site_fract_x
_atom_site_fract_y
_atom_site_fract_z
Nb1 Nb 0.101 0.204 0.002
Se1 Se 0.000 0.077 0.250
Se2 Se 0.105 0.427 0.721
S1 S 0.051 0.085 0.405
S2 S 0.082 0.429 0.581
S3 S 0.224 0.409 0.909
```

The uncorrected formation energy is -363 kJ/mol of formula units.



Record 14
A plane-wave DFT calculation with PBE-GGA was carried out for RbTbSi2O6 after structural relaxation.

Geometry as CIF:
```
data_RbTbSi2O6
_space_group_name_H-M_alt 'C 1 2/c 1'
_space_group_IT_number 15
_cell_length_a 10.421
_cell_length_b 10.026
_cell_length_c 5.513
_cell_angle_alpha 90.00
_cell_angle_beta 101.73
_cell_angle_gamma 90.00
loop_
_space_group_symop_operation_xyz
'x,y,z'
'-x,-y,-z'
'-x,y,-z+1/2'
'x,-y,z+1/2'
'x+1/2,y+1/2,z'
'-x+1/2,-y+1/2,-z'
'-x+1/2,y+1/2,-z+1/2'
'x+1/2,-y+1/2,z+1/2'
loop_
_atom_site_label
_atom_site_type_symbol
_atom_site_fract_x
_atom_site_fract_y
_atom_site_fract_z
Rb1 Rb 0.000 0.178 0.250
Tb1 Tb 0.000 0.383 0.750
Si1 Si 0.221 0.081 0.797
O1 O 0.118 0.432 0.138
O2 O 0.151 0.225 0.746
O3 O 0.170 0.008 0.035
```

The uncorrected formation energy is -2772 kJ/mol of formula units.



Record 15
A plane-wave DFT calculation with PBE-GGA was carried out for Co2RePt after structural relaxation.

Geometry as CIF:
```
data_Co2RePt
_space_group_name_H-M_alt 'P m m 2'
_space_group_IT_number 25
_cell_length_a 2.667
_cell_length_b 3.741
_cell_length_c 5.223
_cell_angle_alpha 90.00
_cell_angle_beta 90.00
_cell_angle_gamma 90.00
loop_
_space_group_symop_operation_xyz
'x,y,z'
'-x,-y,z'
'-x,y,z'
'x,-y,z'
loop_
_atom_site_label
_atom_site_type_symbol
_atom_site_fract_x
_atom_site_fract_y
_atom_site_fract_z
Co1 Co 0.000 0.000 0.000
Co2 Co 0.500 0.500 0.231
Re1 Re 0.500 0.500 0.773
Pt1 Pt 0.000 0.000 0.492
```

Its energy of formation is 0.017 eV/atom.



Record 16
A plane-wave DFT calculation with PBE-GGA was carried out for Ru2RhW after structural relaxation.

Geometry as CIF:
```
data_Ru2RhW
_space_group_name_H-M_alt 'C 1 2/m 1'
_space_group_IT_number 12
_cell_length_a 5.347
_cell_length_b 9.203
_cell_length_c 2.708
_cell_angle_alpha 90.00
_cell_angle_beta 117.36
_cell_angle_gamma 90.00
loop_
_space_group_symop_operation_xyz
'x,y,z'
'-x,-y,-z'
'-x,y,-z'
'x,-y,z'
'x+1/2,y+1/2,z'
'-x+1/2,-y+1/2,-z'
'-x+1/2,y+1/2,-z'
'x+1/2,-y+1/2,z'
loop_
_atom_site_label
_atom_site_type_symbol
_atom_site_fract_x
_atom_site_fract_y
_atom_site_fract_z
Ru1 Ru 0.250 0.250 0.000
Rh1 Rh 0.000 0.000 0.500
W1 W 0.000 0.500 0.500
```

Its energy of formation is 0.264 eV/atom.



Record 17
A plane-wave DFT calculation with PBE-GGA was carried out for Th6P2RuS3 after structural relaxation.

Geometry as CIF:
```
data_Th6P2RuS3
_space_group_name_H-M_alt 'C 1 2/m 1'
_space_group_IT_number 12
_cell_length_a 17.924
_cell_length_b 4.070
_cell_length_c 8.278
_cell_angle_alpha 90.00
_cell_angle_beta 102.80
_cell_angle_gamma 90.00
loop_
_space_group_symop_operation_xyz
'x,y,z'
'-x,-y,-z'
'-x,y,-z'
'x,-y,z'
'x+1/2,y+1/2,z'
'-x+1/2,-y+1/2,-z'
'-x+1/2,y+1/2,-z'
'x+1/2,-y+1/2,z'
loop_
_atom_site_label
_atom_site_type_symbol
_atom_site_fract_x
_atom_site_fract_y
_atom_site_fract_z
Th1 Th 0.001 0.000 0.238
Th2 Th 0.166 0.500 0.085
Th3 Th 0.168 0.500 0.582
P1 P 0.167 0.000 0.334
Ru1 Ru 0.000 0.500 0.000
S1 S 0.000 0.500 0.500
S2 S 0.167 0.000 0.833
```

The uncorrected formation energy is -1737 kJ/mol of formula units.



Record 18
A plane-wave DFT calculation with PBE-GGA was carried out for Sr2CaRe after structural relaxation.

Geometry as CIF:
```
data_Sr2CaRe
_space_group_name_H-M_alt 'I m m m'
_space_group_IT_number 71
_space_group_name_Hall '-I 2 2'
_cell_length_a 5.166
_cell_length_b 5.212
_cell_length_c 9.099
_cell_angle_alpha 90.00
_cell_angle_beta 90.00
_cell_angle_gamma 90.00
loop_
_atom_site_label
_atom_site_type_symbol
_atom_site_fract_x
_atom_site_fract_y
_atom_site_fract_z
Sr1 Sr 0.000 0.000 0.249
Ca1 Ca 0.000 0.500 0.000
Re1 Re 0.000 0.500 0.500
```

Its energy of formation is 0.899 eV/atom.



Record 19
A plane-wave DFT calculation with PBE-GGA was carried out for HgTe2Br after structural relaxation.

Geometry as CIF:
```
data_HgTe2Br
_space_group_name_H-M_alt 'P 4 m m'
_space_group_IT_number 99
_cell_length_a 4.371
_cell_length_b 4.371
_cell_length_c 10.010
_cell_angle_alpha 90.00
_cell_angle_beta 90.00
_cell_angle_gamma 90.00
loop_
_space_group_symop_operation_xyz
'x,y,z'
'-y,x,z'
'-x,-y,z'
'y,-x,z'
'-x,y,z'
'y,x,z'
'x,-y,z'
'-y,-x,z'
loop_
_atom_site_label
_atom_site_type_symbol
_atom_site_fract_x
_atom_site_fract_y
_atom_site_fract_z
Hg1 Hg 0.000 0.000 0.000
Te1 Te 0.000 0.000 0.442
Te2 Te 0.500 0.500 0.475
Br1 Br 0.500 0.500 0.729
```

The uncorrected formation energy is 15 kJ/mol of formula units.



Record 20
A plane-wave DFT calculation with PBE-GGA was carried out for YTl2 after structural relaxation.

Geometry as CIF:
```
data_YTl2
_space_group_name_H-M_alt 'C m c m'
_space_group_IT_number 63
_space_group_name_Hall '-C 2c 2'
_cell_length_a 4.148
_cell_length_b 16.433
_cell_length_c 4.956
_cell_angle_alpha 90.00
_cell_angle_beta 90.00
_cell_angle_gamma 90.00
loop_
_atom_site_label
_atom_site_type_symbol
_atom_site_fract_x
_atom_site_fract_y
_atom_site_fract_z
Y1 Y 0.000 0.091 0.250
Tl1 Tl 0.000 0.245 0.750
Tl2 Tl 0.000 0.427 0.250
```

Its energy of formation is -0.196 eV/atom.



| no. | total magnetic moment (μB/atom) | final energy (eV/cell) |
| --- | --- | --- |
| 1 | 0.4286 | -269.40 |
| 2 | 0.9727 | -11.94 |
| 3 | 0.0000 | -17.51 |
| 4 | 0.0000 | -107.76 |
| 5 | 0.0351 | -76.14 |
| 6 | 0.0000 | -39.17 |
| 7 | 0.0000 | -42.55 |
| 8 | 0.3519 | -41.72 |
| 9 | 0.0009 | -57.13 |
| 10 | 0.0000 | -75.94 |
| 11 | 1.7092 | -54.61 |
| 12 | 0.0000 | -19.99 |
| 13 | 0.0000 | -236.49 |
| 14 | 0.0000 | -299.70 |
| 15 | 0.4510 | -32.63 |
| 16 | 0.0010 | -75.60 |
| 17 | 0.0000 | -190.01 |
| 18 | 0.2631 | -28.44 |
| 19 | 0.0000 | -8.10 |
| 20 | 0.0000 | -47.14 |